AgIrOsPt2 | SCAN | PBEsol geometry

abc: 4.6807 4.6807 4.8211
angles: 90.00 90.00 90.00
Last column: nearest neighbours and their distance in Å.
Space group P4/mmm (No. 123)
Asymmetric unit:
Ag1 0.0000 0.0000 0.0000 [1 per cell]  2 Ir 2.41
Ir1 0.0000 0.0000 0.5000 [1 per cell]  4 Pt 2.34, 2 Ag 2.41
Os1 0.5000 0.5000 0.0000 [1 per cell]  4 Ag 3.31, 8 Pt 3.36
Pt1 0.0000 0.5000 0.5000 [2 per cell]  2 Ir 2.34

Calculated values
Calculated volume, Å³ per atom: 21.1
Calculated total energy, eV per atom: -60.750
Formation energy from the elements, eV per atom: 2.20